A plane-wave DFT calculation with PBE was carried out for CsInH4 after structural relaxation.

## Properties
Fermi-level density of states: 0.0 states/eV per cell
uncorrected energy: -2.92 eV/atom
crystal system: monoclinic

a = 7.9365 Å, b = 8.1513 Å, c = 9.7994 Å
α = 90.00°, β = 126.28°, γ = 90.00°
Space group P2_1/c (No. 14)
One atom of each set of equivalent atoms:
1 Cs 0.2275 0.1660 0.2938 [4 per cell]
2 In 0.2542 0.6887 0.1821 [4 per cell]
3 H 0.0392 0.6720 0.5976 [4 per cell]
4 H 0.2209 0.5322 0.2893 [4 per cell]
5 H 0.2561 0.6166 0.0114 [4 per cell]
6 H 0.4912 0.7005 0.8215 [4 per cell]


A plane-wave DFT calculation with PBE was carried out for SrTlPdAu after structural relaxation.

## Properties
Fermi-level density of states: 4.4 states/eV per cell
energy above the most stable polymorph in this dataset: 0 meV per atom
E_form: -464.4 meV per atom
uncorrected energy: -3.59 eV/atom
crystal system: monoclinic

a = 8.3620 Å, b = 4.8556 Å, c = 5.7647 Å
α = 90.00°, β = 119.12°, γ = 90.00°
Space group Cm (No. 8)
One atom of each set of equivalent atoms:
1 Sr 0.0000 0.0000 0.0000 [2 per cell]
2 Tl 0.0202 0.5000 0.5628 [2 per cell]
3 Pd 0.2007 0.0000 0.6068 [2 per cell]
4 Au 0.2859 0.5000 0.3590 [2 per cell]


A plane-wave DFT calculation with PBE was carried out for SrAlSb2 after structural relaxation.

## Properties
Fermi-level density of states: 2.0 states/eV per cell
uncorrected energy: -3.68 eV/atom
crystal system: monoclinic
formation energy from raw total energies: -0.26 eV/atom

a = 3.4268 Å, b = 5.6135 Å, c = 5.9659 Å
α = 90.00°, β = 90.08°, γ = 90.00°
Space group Pm (No. 6)
One atom of each set of equivalent atoms:
1 Sr 0.0000 0.0000 0.0000 [1 per cell]
2 Al 0.5032 0.5000 0.3476 [1 per cell]
3 Sb 0.4980 0.5000 0.8741 [1 per cell]
4 Sb 0.5017 0.0000 0.4910 [1 per cell]


A plane-wave DFT calculation with PBE was carried out for PmNd2Cd after structural relaxation.

## Properties
Fermi-level density of states: 4.3 states/eV per cell
energy above the most stable polymorph in this dataset: 0 meV per atom
E_form: -148.7 meV per atom
uncorrected energy: -3.95 eV/atom
crystal system: tetragonal

a = 3.7410 Å, b = 3.7410 Å, c = 9.0863 Å
α = 90.00°, β = 90.00°, γ = 90.00°
Space group P4/mmm (No. 123)
One atom of each set of equivalent atoms:
1 Pm 0.0000 0.0000 0.0000 [1 per cell]
2 Nd 0.5000 0.5000 0.2760 [2 per cell]
3 Cd 0.0000 0.0000 0.5000 [1 per cell]


Please write out number 3 again, unchanged.
A plane-wave DFT calculation with PBE was carried out for SrAlSb2 after structural relaxation.

## Properties
Fermi-level density of states: 2.0 states/eV per cell
uncorrected energy: -3.68 eV/atom
crystal system: monoclinic
formation energy from raw total energies: -0.26 eV/atom

a = 3.4268 Å, b = 5.6135 Å, c = 5.9659 Å
α = 90.00°, β = 90.08°, γ = 90.00°
Space group Pm (No. 6)
One atom of each set of equivalent atoms:
1 Sr 0.0000 0.0000 0.0000 [1 per cell]
2 Al 0.5032 0.5000 0.3476 [1 per cell]
3 Sb 0.4980 0.5000 0.8741 [1 per cell]
4 Sb 0.5017 0.0000 0.4910 [1 per cell]


Copy entry 1 word for word.
A plane-wave DFT calculation with PBE was carried out for CsInH4 after structural relaxation.

## Properties
Fermi-level density of states: 0.0 states/eV per cell
uncorrected energy: -2.92 eV/atom
crystal system: monoclinic

a = 7.9365 Å, b = 8.1513 Å, c = 9.7994 Å
α = 90.00°, β = 126.28°, γ = 90.00°
Space group P2_1/c (No. 14)
One atom of each set of equivalent atoms:
1 Cs 0.2275 0.1660 0.2938 [4 per cell]
2 In 0.2542 0.6887 0.1821 [4 per cell]
3 H 0.0392 0.6720 0.5976 [4 per cell]
4 H 0.2209 0.5322 0.2893 [4 per cell]
5 H 0.2561 0.6166 0.0114 [4 per cell]
6 H 0.4912 0.7005 0.8215 [4 per cell]


Repeat the second record exactly.
A plane-wave DFT calculation with PBE was carried out for SrTlPdAu after structural relaxation.

## Properties
Fermi-level density of states: 4.4 states/eV per cell
energy above the most stable polymorph in this dataset: 0 meV per atom
E_form: -464.4 meV per atom
uncorrected energy: -3.59 eV/atom
crystal system: monoclinic

a = 8.3620 Å, b = 4.8556 Å, c = 5.7647 Å
α = 90.00°, β = 119.12°, γ = 90.00°
Space group Cm (No. 8)
One atom of each set of equivalent atoms:
1 Sr 0.0000 0.0000 0.0000 [2 per cell]
2 Tl 0.0202 0.5000 0.5628 [2 per cell]
3 Pd 0.2007 0.0000 0.6068 [2 per cell]
4 Au 0.2859 0.5000 0.3590 [2 per cell]


Which value of Fermi-level density of states does entry 3 give?
2.0 states/eV per cell